[1]
TcAuF2 (meta-GGA SCAN, single point on PBEsol structure); density of states at the Fermi level = 0.539 states/eV per atom; raw total energy = -112.5 eV per cell; formation energy from raw total energies = -0.31 eV/atom
1.0
4.2518 0.0000 0.0000
2.1259 3.6822 0.0000
2.1259 1.2274 3.4716
Au F Tc
1 2 1
Cartesian
4.2518 2.4548 1.7358 Au
6.3777 3.6822 2.6037 F
2.1259 1.2274 0.8679 F
0.0000 0.0000 0.0000 Tc

---

[2]
CaFeRu2 (meta-GGA SCAN, single point on PBEsol structure); density of states at the Fermi level = 0.947 states/eV per atom; raw total energy = -96.3 eV per cell; formation enthalpy at 0 K = 288.6 meV/atom
1.0
-2.8919 -0.6392 -0.1503
0.6297 -2.8916 0.1817
-0.4449 0.3480 7.0811
Fe Ru Ca
1 2 1
Cartesian
-1.1311 -1.7654 0.0157 Fe
-0.0847 0.0663 1.3482 Ru
-0.3602 0.2817 5.7329 Ru
-1.3535 -1.5914 3.5563 Ca

---

[3]
BaW4Se (meta-GGA SCAN, single point on PBEsol structure); density of states at the Fermi level = 1.055 states/eV per atom; raw total energy = -330.4 eV per cell; formation energy from raw total energies = 1.33 eV/atom
1.0
5.5159 0.0000 0.0000
2.7579 4.7769 0.0000
2.7579 1.5923 4.5037
Se W Ba
1 4 1
Cartesian
0.0000 0.0000 0.0000 Se
5.5159 3.1846 3.9530 W
6.9048 2.3827 1.6848 W
5.5159 4.7884 1.6848 W
4.1269 2.3827 1.6848 W
8.2738 4.7769 3.3778 Ba

---

[4]
Sn2PdIO (meta-GGA SCAN, single point on PBEsol structure); density of states at the Fermi level = 0.372 states/eV per atom; raw total energy = -147.6 eV per cell; formation energy from raw total energies = -0.01 eV/atom
1.0
-0.5581 3.5995 2.0350
-3.5235 1.3707 -3.3909
-3.5939 -2.1721 2.8563
Sn O I Pd
2 1 1 1
Cartesian
-1.7969 -1.0860 1.4282 Sn
-1.7617 0.6854 -1.6955 Sn
0.0000 0.0000 0.0000 O
-3.8377 1.3991 0.7502 I
-0.2791 1.7997 1.0175 Pd

---

[5]
PbIF (meta-GGA SCAN, single point on PBEsol structure); density of states at the Fermi level = 0.000 states/eV per atom; raw total energy = -241.3 eV per cell; formation energy from raw total energies = -1.54 eV/atom
1.0
4.1637 0.0000 0.0000
0.0000 4.1637 0.0000
0.0000 0.0000 8.9938
F I Pb
2 2 2
Cartesian
2.0818 2.0818 0.0000 F
0.0000 0.0000 0.0000 F
2.0818 0.0000 5.9788 I
0.0000 2.0818 3.0150 I
0.0000 2.0818 7.5373 Pb
2.0818 0.0000 1.4565 Pb

---

[6]
NaScCo2Ag (meta-GGA SCAN, single point on PBEsol structure); density of states at the Fermi level = 0.694 states/eV per atom; raw total energy = -80.1 eV per cell; formation enthalpy at 0 K = 873.3 meV/atom
1.0
4.7464 0.0000 0.0000
0.0000 4.7464 0.0000
0.0000 0.0000 4.9079
Na Ag Co Sc
1 1 2 1
Cartesian
2.3732 2.3732 2.4540 Na
0.0000 0.0000 0.0000 Ag
2.3732 0.0000 0.0000 Co
0.0000 2.3732 0.0000 Co
0.0000 0.0000 2.4540 Sc

---

[7]
InWBr3 (meta-GGA SCAN, single point on PBEsol structure); density of states at the Fermi level = 0.179 states/eV per atom; raw total energy = -160.7 eV per cell; formation energy from raw total energies = 0.16 eV/atom
1.0
5.1571 0.0000 0.0000
0.0000 5.1571 0.0000
0.0000 0.0000 5.1571
Br In W
3 1 1
Cartesian
2.5786 0.0000 0.0000 Br
0.0000 0.0000 2.5786 Br
0.0000 2.5786 0.0000 Br
2.5786 2.5786 2.5786 In
0.0000 0.0000 0.0000 W

---

[8]
SrNbB2Os (meta-GGA SCAN, single point on PBEsol structure); density of states at the Fermi level = 0.589 states/eV per atom; raw total energy = -136.6 eV per cell; formation enthalpy at 0 K = 1099.0 meV/atom
1.0
-3.9605 -1.9321 0.5986
0.3692 -1.9844 -3.9626
2.1518 -3.7645 2.0857
B Sr Nb Os
2 1 1 1
Cartesian
0.1846 -0.9922 -1.9813 B
-1.9802 -0.9661 0.2993 B
-0.7198 -3.8405 -0.6392 Sr
0.0000 0.0000 0.0000 Nb
1.0759 -1.8823 1.0428 Os

---

[9]
Li2ZrPb (meta-GGA SCAN, single point on PBEsol structure); density of states at the Fermi level = 0.778 states/eV per atom; raw total energy = -111.0 eV per cell; formation enthalpy at 0 K = 58.6 meV/atom
1.0
3.1339 0.0000 0.0000
1.5669 2.7140 0.0000
1.5669 0.9047 10.2925
Zr Pb Li
1 1 2
Cartesian
0.0000 0.0000 0.0000 Zr
3.1339 1.8094 5.1463 Pb
4.7008 2.7140 7.6095 Li
1.5669 0.9047 2.6830 Li

---

[10]
Cu2TcNi (meta-GGA SCAN, single point on PBEsol structure); density of states at the Fermi level = 0.870 states/eV per atom; E above lowest polymorph = 0.0635 eV/atom; raw total energy = -81.1 eV per cell; formation enthalpy at 0 K = 132.8 meV/atom
1.0
-1.4943 -0.9453 1.8673
-1.8680 -1.6727 -0.5708
4.1864 -7.1624 1.4952
Cu Ni Tc
2 1 1
Cartesian
4.1405 -7.1079 1.4860 Cu
0.6007 -7.3146 2.0902 Cu
0.4348 -4.9171 1.4004 Ni
0.2467 -2.4933 0.7060 Tc

---

[11]
YSb (meta-GGA SCAN, single point on PBEsol structure); density of states at the Fermi level = 0.817 states/eV per atom; raw total energy = -262.0 eV per cell; formation energy from raw total energies = -0.20 eV/atom
1.0
-2.7128 -1.5446 4.0923
4.3921 -2.3870 -1.2263
4.8716 6.1183 5.5388
Y Sb
4 4
Cartesian
1.2179 1.5296 1.3847 Y
0.8734 -0.2959 3.7041 Y
5.6775 2.4825 4.7007 Y
3.6537 4.5887 4.1541 Y
4.0893 3.7430 7.3605 Sb
2.4616 -1.5564 1.0444 Sb
2.5291 1.7836 5.5866 Sb
4.0218 0.4031 2.8182 Sb

---

[12]
InNiAs2 (meta-GGA SCAN, single point on PBEsol structure); density of states at the Fermi level = 0.718 states/eV per atom; raw total energy = -88.2 eV per cell; formation enthalpy at 0 K = 431.2 meV/atom
1.0
-1.6836 -3.8351 -1.9349
1.9563 -4.0827 0.8893
-2.2204 -3.1068 2.5892
As Ni In
2 1 1
Cartesian
-0.4869 -2.7561 0.3859 As
-1.4608 -8.2684 1.1578 As
-0.9739 -5.5123 0.7719 Ni
0.0000 0.0000 0.0000 In

---

[13]
CrAg2Pt (meta-GGA SCAN, single point on PBEsol structure); density of states at the Fermi level = 0.423 states/eV per atom; E above lowest polymorph = 0.0229 eV/atom; raw total energy = -151.3 eV per cell; formation enthalpy at 0 K = 4.2 meV/atom
1.0
-1.4041 2.4351 0.8400
-3.1068 -2.5224 2.1193
4.8302 0.1731 2.4488
Ag Pt Cr
2 1 1
Cartesian
1.2979 0.0652 1.9804 Ag
-0.9786 0.0205 3.4278 Ag
-0.7020 1.2175 0.4200 Pt
-1.5534 -1.2612 1.0597 Cr

---

[14]
Al2Fe2Si (meta-GGA SCAN, single point on PBEsol structure); density of states at the Fermi level = 0.439 states/eV per atom; raw total energy = -60.4 eV per cell; formation energy from raw total energies = 0.27 eV/atom
1.0
-3.1683 1.1286 -0.1296
-0.7457 -1.7764 2.7599
3.5684 5.2623 2.2989
Si Al Fe
1 2 2
Cartesian
0.0000 0.0000 0.0000 Si
-1.6220 0.7029 2.0665 Al
1.2764 3.9117 2.8627 Al
-0.7784 3.0335 1.7422 Fe
0.4328 1.5810 3.1870 Fe

---

[15]
RbLiHg3 (meta-GGA SCAN, single point on PBEsol structure); density of states at the Fermi level = 0.585 states/eV per atom; E above lowest polymorph = 0.5696 eV/atom; raw total energy = -226.2 eV per cell; formation enthalpy at 0 K = 292.6 meV/atom
1.0
6.3114 0.0000 0.0000
0.0000 6.3114 0.0000
0.0000 0.0000 6.3114
Hg Rb Li
3 1 1
Cartesian
3.1557 0.0000 0.0000 Hg
0.0000 3.1557 0.0000 Hg
0.0000 0.0000 3.1557 Hg
0.0000 0.0000 0.0000 Rb
3.1557 3.1557 3.1557 Li

---

[16]
CdFe2Re (meta-GGA SCAN, single point on PBEsol structure); density of states at the Fermi level = 0.663 states/eV per atom; raw total energy = -136.2 eV per cell; formation enthalpy at 0 K = 386.3 meV/atom
1.0
2.7063 0.0000 0.0000
0.0000 4.5342 -0.0134
-1.3532 -1.2718 4.4078
Cd Fe Re
1 2 1
Cartesian
0.0000 2.8799 2.2722 Cd
1.3532 0.6116 2.0922 Fe
0.0000 -0.0443 0.1986 Fe
0.0000 0.8105 4.2324 Re

---

[17]
BaLiIn2 (meta-GGA SCAN, single point on PBEsol structure); density of states at the Fermi level = 0.502 states/eV per atom; raw total energy = -109.7 eV per cell; formation enthalpy at 0 K = -256.5 meV/atom
1.0
3.8674 0.0000 0.0000
0.0000 3.8674 0.0000
0.0000 0.0000 7.7419
In Ba Li
2 1 1
Cartesian
0.0000 0.0000 0.3941 In
1.9337 1.9337 2.0750 In
1.9337 1.9337 5.8737 Ba
0.0000 0.0000 3.2701 Li

---

[18]
Mg3Zr (meta-GGA SCAN, single point on PBEsol structure); density of states at the Fermi level = 0.615 states/eV per atom; raw total energy = -45.5 eV per cell; formation enthalpy at 0 K = 35.4 meV/atom
1.0
-0.2809 -2.6076 -3.5584
2.4358 -3.0645 2.0534
-3.6781 -1.8303 1.6316
Mg Zr
3 1
Cartesian
1.0774 -2.8361 -0.7525 Mg
-0.6212 -2.4474 1.8425 Mg
-1.9795 -2.2189 -0.9634 Mg
0.0000 0.0000 0.0000 Zr

---

[19]
CoCuGe3 (meta-GGA SCAN, single point on PBEsol structure); density of states at the Fermi level = 0.882 states/eV per atom; raw total energy = -87.3 eV per cell; formation enthalpy at 0 K = 494.2 meV/atom
1.0
-1.0608 1.4856 4.0479
-3.6454 -2.5355 -0.0248
2.3030 -3.3290 1.8253
Ge Co Cu
3 1 1
Cartesian
-1.8227 -1.2677 -0.0124 Ge
1.1515 -1.6645 0.9127 Ge
-0.5304 0.7428 2.0240 Ge
0.0000 0.0000 0.0000 Co
-1.2016 -2.1894 2.9242 Cu

---

[20]
HgOs2Pt (meta-GGA SCAN, single point on PBEsol structure); density of states at the Fermi level = 0.488 states/eV per atom; raw total energy = -281.0 eV per cell; formation enthalpy at 0 K = 284.1 meV/atom
1.0
-0.1624 -2.6981 0.6788
1.0205 0.5748 2.5288
-7.4732 1.1431 2.7560
Os Hg Pt
2 1 1
Cartesian
-0.2202 0.0337 0.0812 Os
-1.3353 -0.7917 2.2545 Os
-5.2120 -0.1988 3.6841 Hg
-3.5841 0.5482 1.3218 Pt